# 1
NbHgPd3 | GGA-PBEsol | optimized geometry

Output
Final energy = -4.873 eV per atom
Calculated density = 9.3 g/cm3
V = 109.4 Å³/cell
N(E_F) = 4.16 states/eV/cell

CIF file:
```
data_NbHgPd3
_cell_length_a 4.7834
_cell_length_b 4.7834
_cell_length_c 4.7834
_cell_angle_alpha 90.00
_cell_angle_beta 90.00
_cell_angle_gamma 90.00
_symmetry_space_group_name_H-M 'P m -3 m'
_symmetry_Int_Tables_number 221
_symmetry_space_group_name_Hall '-P 4 2 3'
loop_
_atom_site_label
_atom_site_type_symbol
_atom_site_fract_x
_atom_site_fract_y
_atom_site_fract_z
Nb1 Nb 0.0000 0.0000 0.0000
Hg1 Hg 0.5000 0.5000 0.5000
Pd1 Pd 0.0000 0.0000 0.5000
```


# 2
SrNd2Mn3O9 | GGA-PBEsol | optimized geometry

Output
Final energy = -8.452 eV per atom
Calculated density = 6.7 g/cm3
ΔE_f (raw) = -2.54 eV per atom
V = 674.3 Å³/cell
N(E_F) = 7.40 states/eV/cell

CIF file:
```
data_SrNd2Mn3O9
_cell_length_a 16.2453
_cell_length_b 7.6490
_cell_length_c 5.4264
_cell_angle_alpha 90.00
_cell_angle_beta 90.00
_cell_angle_gamma 90.00
_symmetry_space_group_name_H-M 'P n m a'
_symmetry_Int_Tables_number 62
loop_
_symmetry_equiv_pos_as_xyz
'x,y,z'
'-x,-y,-z'
'-x+1/2,-y,z+1/2'
'x+1/2,y,-z+1/2'
'x+1/2,-y+1/2,-z+1/2'
'-x+1/2,y+1/2,z+1/2'
'-x,y+1/2,-z'
'x,-y+1/2,z'
loop_
_atom_site_label
_atom_site_type_symbol
_atom_site_fract_x
_atom_site_fract_y
_atom_site_fract_z
Sr1 Sr 0.1606 0.2500 0.0083
Nd1 Nd 0.0099 0.7500 0.5078
Nd2 Nd 0.1781 0.7500 0.9982
Mn1 Mn 0.0000 0.0000 0.0000
Mn2 Mn 0.1659 0.0004 0.5044
O1 O 0.0030 0.2500 0.9290
O2 O 0.0713 0.0276 0.2855
O3 O 0.0913 0.5460 0.7792
O4 O 0.1621 0.7500 0.4346
O5 O 0.1677 0.2500 0.5528
O6 O 0.2449 0.0282 0.2415
```


# 3
TaTlP2 | GGA-PBEsol | optimized geometry

Output
Distance to the lowest polymorph of the same formula = 0.0000 eV per atom
Final energy = -6.810 eV per atom
Calculated density = 9.1 g/cm3
V = 163.4 Å³/cell
N(E_F) = 3.33 states/eV/cell

CIF file:
```
data_TaTlP2
_cell_length_a 3.2350
_cell_length_b 3.4544
_cell_length_c 14.6228
_cell_angle_alpha 90.00
_cell_angle_beta 90.00
_cell_angle_gamma 90.00
_symmetry_space_group_name_H-M 'I m m 2'
_symmetry_Int_Tables_number 44
loop_
_symmetry_equiv_pos_as_xyz
'x,y,z'
'-x,-y,z'
'-x,y,z'
'x,-y,z'
'x+1/2,y+1/2,z+1/2'
'-x+1/2,-y+1/2,z+1/2'
'-x+1/2,y+1/2,z+1/2'
'x+1/2,-y+1/2,z+1/2'
loop_
_atom_site_label
_atom_site_type_symbol
_atom_site_fract_x
_atom_site_fract_y
_atom_site_fract_z
Ta1 Ta 0.0000 0.0000 0.0000
Tl1 Tl 0.0000 0.5000 0.7465
P1 P 0.0000 0.0000 0.5649
P2 P 0.0000 0.5000 0.3743
```


# 4
LiZnPCl2 | GGA-PBEsol | optimized geometry

Output
Final energy = -2.608 eV per atom
Calculated density = 3.1 g/cm3
ΔE_f (raw) = 0.06 eV per atom
V = 93.4 Å³/cell
N(E_F) = 3.98 states/eV/cell

CIF file:
```
data_LiZnPCl2
_cell_length_a 4.3689
_cell_length_b 4.3689
_cell_length_c 4.8919
_cell_angle_alpha 90.00
_cell_angle_beta 90.00
_cell_angle_gamma 90.00
_symmetry_space_group_name_H-M 'P 4/m m m'
_symmetry_Int_Tables_number 123
_symmetry_space_group_name_Hall '-P 4 2'
loop_
_atom_site_label
_atom_site_type_symbol
_atom_site_fract_x
_atom_site_fract_y
_atom_site_fract_z
Li1 Li 0.0000 0.0000 0.0000
Zn1 Zn 0.5000 0.5000 0.5000
P1 P 0.0000 0.0000 0.5000
Cl1 Cl 0.0000 0.5000 0.0000
```


# 5
LiSc4In | GGA-PBEsol | optimized geometry

Output
Final energy = -5.045 eV per atom
Calculated density = 3.6 g/cm3
V = 558.7 Å³/cell
N(E_F) = 19.40 states/eV/cell

CIF file:
```
data_LiSc4In
_cell_length_a 8.2364
_cell_length_b 8.2364
_cell_length_c 8.2364
_cell_angle_alpha 90.00
_cell_angle_beta 90.00
_cell_angle_gamma 90.00
_symmetry_space_group_name_H-M 'F -4 3 m'
_symmetry_Int_Tables_number 216
_symmetry_space_group_name_Hall 'F -4 2 3'
loop_
_atom_site_label
_atom_site_type_symbol
_atom_site_fract_x
_atom_site_fract_y
_atom_site_fract_z
Li1 Li 0.0000 0.0000 0.0000
Sc1 Sc 0.1238 0.1238 0.3762
In1 In 0.2500 0.2500 0.7500
```


# 6
CrPPtW2 | GGA-PBEsol | optimized geometry

Output
Final energy = -8.906 eV per atom
Calculated density = 13.2 g/cm3
V = 81.5 Å³/cell
N(E_F) = 4.68 states/eV/cell

CIF file:
```
data_CrPPtW2
_cell_length_a 4.4738
_cell_length_b 4.4738
_cell_length_c 4.0722
_cell_angle_alpha 90.00
_cell_angle_beta 90.00
_cell_angle_gamma 90.00
_symmetry_space_group_name_H-M 'P 4/m m m'
_symmetry_Int_Tables_number 123
_symmetry_space_group_name_Hall '-P 4 2'
loop_
_atom_site_label
_atom_site_type_symbol
_atom_site_fract_x
_atom_site_fract_y
_atom_site_fract_z
Cr1 Cr 0.0000 0.0000 0.0000
P1 P 0.0000 0.0000 0.5000
Pt1 Pt 0.5000 0.5000 0.5000
W1 W 0.0000 0.5000 0.0000
```


# 7
Ca4Mn2Al2O11 | GGA-PBEsol | optimized geometry

Output
Final energy = -7.593 eV per atom
Calculated density = 4.0 g/cm3
ΔE_f (raw) = -2.65 eV per atom
V = 820.7 Å³/cell
N(E_F) = 3.41 states/eV/cell

CIF file:
```
data_Ca4Mn2Al2O11
_cell_length_a 7.4251
_cell_length_b 29.1218
_cell_length_c 5.3069
_cell_angle_alpha 90.00
_cell_angle_beta 134.34
_cell_angle_gamma 90.00
_symmetry_space_group_name_H-M 'C 1 2/m 1'
_symmetry_Int_Tables_number 12
loop_
_symmetry_equiv_pos_as_xyz
'x,y,z'
'-x,-y,-z'
'-x,y,-z'
'x,-y,z'
'x+1/2,y+1/2,z'
'-x+1/2,-y+1/2,-z'
'-x+1/2,y+1/2,-z'
'x+1/2,-y+1/2,z'
loop_
_atom_site_label
_atom_site_type_symbol
_atom_site_fract_x
_atom_site_fract_y
_atom_site_fract_z
Ca1 Ca 0.2207 0.0712 0.4421
Ca2 Ca 0.2471 0.1923 0.4949
Mn1 Mn 0.2416 0.3753 0.9995
Al1 Al 0.1770 0.5000 0.0004
Al2 Al 0.2500 0.2500 0.0000
O1 O 0.0000 0.1213 0.5000
O2 O 0.0000 0.1325 0.0000
O3 O 0.0000 0.2404 0.0000
O4 O 0.0000 0.2497 0.5000
O5 O 0.0000 0.3795 0.5000
O6 O 0.0000 0.3926 0.0000
O7 O 0.1653 0.5000 0.3315
O8 O 0.1987 0.3155 0.9972
O9 O 0.2091 0.0529 0.9985
```


# 8
NaOsIN2 | GGA-PBEsol | optimized geometry

Output
Final energy = -6.198 eV per atom
Calculated density = 7.0 g/cm3
ΔE_f (raw) = 0.29 eV per atom
V = 87.1 Å³/cell
N(E_F) = 1.83 states/eV/cell

CIF file:
```
data_NaOsIN2
_cell_length_a 3.8687
_cell_length_b 3.8687
_cell_length_c 5.8173
_cell_angle_alpha 90.00
_cell_angle_beta 90.00
_cell_angle_gamma 90.00
_symmetry_space_group_name_H-M 'P 4/m m m'
_symmetry_Int_Tables_number 123
_symmetry_space_group_name_Hall '-P 4 2'
loop_
_atom_site_label
_atom_site_type_symbol
_atom_site_fract_x
_atom_site_fract_y
_atom_site_fract_z
Na1 Na 0.0000 0.0000 0.0000
Os1 Os 0.5000 0.5000 0.5000
I1 I 0.5000 0.5000 0.0000
N1 N 0.0000 0.5000 0.5000
```


# 9
RbMn3Ru | GGA-PBEsol | optimized geometry

Output
Final energy = -5.193 eV per atom
Calculated density = 6.5 g/cm3
V = 90.4 Å³/cell
N(E_F) = 4.56 states/eV/cell

CIF file:
```
data_RbMn3Ru
_cell_length_a 4.4880
_cell_length_b 4.4880
_cell_length_c 4.4880
_cell_angle_alpha 90.00
_cell_angle_beta 90.00
_cell_angle_gamma 90.00
_symmetry_space_group_name_H-M 'P m -3 m'
_symmetry_Int_Tables_number 221
_symmetry_space_group_name_Hall '-P 4 2 3'
loop_
_atom_site_label
_atom_site_type_symbol
_atom_site_fract_x
_atom_site_fract_y
_atom_site_fract_z
Rb1 Rb 0.0000 0.0000 0.0000
Mn1 Mn 0.0000 0.0000 0.5000
Ru1 Ru 0.5000 0.5000 0.5000
```


# 10
Rb2SiSb | GGA-PBEsol | optimized geometry

Output
Final energy = -2.657 eV per atom
Calculated density = 3.9 g/cm3
ΔE_f (raw) = 0.43 eV per atom
V = 553.4 Å³/cell
N(E_F) = 10.80 states/eV/cell

CIF file:
```
data_Rb2SiSb
_cell_length_a 8.2101
_cell_length_b 8.2101
_cell_length_c 8.2101
_cell_angle_alpha 90.00
_cell_angle_beta 90.00
_cell_angle_gamma 90.00
_symmetry_space_group_name_H-M 'F m -3 m'
_symmetry_Int_Tables_number 225
_symmetry_space_group_name_Hall '-F 4 2 3'
loop_
_atom_site_label
_atom_site_type_symbol
_atom_site_fract_x
_atom_site_fract_y
_atom_site_fract_z
Rb1 Rb 0.2500 0.2500 0.2500
Si1 Si 0.0000 0.0000 0.0000
Sb1 Sb 0.0000 0.0000 0.5000
```


# 11
P2WCl | GGA-PBEsol | optimized geometry

Output
Final energy = -6.359 eV per atom
Calculated density = 7.0 g/cm3
ΔE_f (raw) = 0.49 eV per atom
V = 133.7 Å³/cell
N(E_F) = 4.64 states/eV/cell

CIF file:
```
data_P2WCl
_cell_length_a 2.8751
_cell_length_b 4.5926
_cell_length_c 10.1264
_cell_angle_alpha 90.00
_cell_angle_beta 90.00
_cell_angle_gamma 90.00
_symmetry_space_group_name_H-M 'I m m m'
_symmetry_Int_Tables_number 71
_symmetry_space_group_name_Hall '-I 2 2'
loop_
_atom_site_label
_atom_site_type_symbol
_atom_site_fract_x
_atom_site_fract_y
_atom_site_fract_z
P1 P 0.0000 0.0000 0.1966
W1 W 0.0000 0.5000 0.5000
Cl1 Cl 0.0000 0.5000 0.0000
```